Record 1
A geometry-optimized Cs2RbCdPt structure. Source: the Alexandria database, functional PBE-GGA.

Output
The value obtained for the energy above the lowest structure with this stoichiometry is 97.9 meV per atom. As for the space group: P4/mmm (123). As for the formation energy: 0.09 eV/atom. The calculated total energy is -0.13488 Ry/atom.

Geometry as POSCAR:
```
Cs2RbCdPt
1.0
6.6888 0.0000 0.0000
0.0000 6.6888 0.0000
0.0000 0.0000 6.5039
Cs Rb Pt Cd
2 1 1 1
Direct
0.0000 0.5000 0.0000
0.5000 0.0000 0.0000
0.0000 0.0000 0.5000
0.0000 0.0000 0.0000
0.5000 0.5000 0.5000
```

***

Record 2
A geometry-optimized Cs2RbCdPt structure. Source: the Alexandria database, functional PBE-GGA.

Output
The value obtained for the energy above the lowest structure with this stoichiometry is 0.0 meV per atom. As for the space group: P4/mmm (123). As for the formation energy: -0.01 eV/atom. The calculated total energy is -0.14208 Ry/atom.

Geometry as POSCAR:
```
Cs2RbCdPt
1.0
-2.7805 -0.3943 6.2673
-5.8758 -2.2551 -2.7487
1.7484 -5.1091 0.4542
Cs Rb Pt Cd
2 1 1 1
Direct
0.0000 0.5000 0.0000
0.5000 0.0000 0.0000
0.5000 0.5000 0.5000
0.0000 0.0000 0.0000
0.0000 0.0000 0.5000
```

***

Record 3
A geometry-optimized CsCdPt2Rh structure. Source: the Alexandria database, functional PBE-GGA.

Output
As for the space group: P4/mmm (123). As for the formation energy: 1.87 eV/atom. The calculated total energy is -0.17455 Ry/atom.

Geometry as POSCAR:
```
CsCdPt2Rh
1.0
-4.2369 2.5618 -1.6793
-2.8819 -2.7615 3.0584
0.6359 3.5395 3.7951
Cs Rh Pt Cd
1 1 2 1
Direct
0.0000 0.0000 0.0000
0.0000 0.5000 0.0000
0.0000 0.0000 0.5000
0.5000 0.0000 0.0000
0.5000 0.5000 0.5000
```

***

Record 4
A geometry-optimized CsCdPtS2 structure. Source: the Alexandria database, functional PBE-GGA.

Output
As for the space group: P4/mmm (123). Its uncorrected formation energy is 7.0 kcal/mol of atoms. The calculated total energy is -0.21379 Ry/atom.

Geometry as POSCAR:
```
CsCdPtS2
1.0
-3.1268 4.0244 0.8182
-0.1771 -1.1811 5.1325
4.1031 3.0180 0.8361
Cs S Pt Cd
1 2 1 1
Direct
0.5000 0.5000 0.5000
0.0000 0.0000 0.5000
0.5000 0.0000 0.0000
0.0000 0.5000 0.0000
0.0000 0.0000 0.0000
```

***

Record 5
A geometry-optimized CsCd2SbPt structure. Source: the Alexandria database, functional PBE-GGA.

Output
As for the space group: P4/mmm (123). Its uncorrected formation energy is -4.2 kcal/mol of atoms. The calculated total energy is -0.20214 Ry/atom.

Geometry as POSCAR:
```
CsCd2SbPt
1.0
-0.2746 4.0284 3.5830
-5.1248 -1.3088 1.0788
1.6611 -3.3215 3.8617
Cs Sb Pt Cd
1 1 1 2
Direct
0.5000 0.5000 0.5000
0.0000 0.0000 0.5000
0.0000 0.0000 0.0000
0.0000 0.5000 0.0000
0.5000 0.0000 0.0000
```

***

Record 6
A geometry-optimized CsCd2TePt structure. Source: the Alexandria database, functional PBE-GGA.

Output
As for the space group: P4/mmm (123). Its uncorrected formation energy is -7.3 kcal/mol of atoms. The calculated total energy is -0.19762 Ry/atom.

Geometry as POSCAR:
```
CsCd2TePt
1.0
5.3633 0.0000 0.0000
0.0000 5.3633 0.0000
0.0000 0.0000 5.6127
Cs Te Pt Cd
1 1 1 2
Direct
0.5000 0.5000 0.5000
0.0000 0.0000 0.5000
0.0000 0.0000 0.0000
0.0000 0.5000 0.0000
0.5000 0.0000 0.0000
```

***

Record 7
A geometry-optimized Cs4TlCd12Pt3 structure. Source: the Alexandria database, functional PBE-GGA.

Output
As for the space group: Im-3m (229). As for the formation energy: -0.16 eV/atom. The calculated total energy is -0.13961 Ry/atom.

Geometry as POSCAR:
```
Cs4TlCd12Pt3
1.0
9.5048 0.0000 0.0000
-3.1683 8.9612 0.0000
-3.1683 -4.4806 7.7606
Cs Tl Cd Pt
4 1 12 3
Direct
0.5000 0.5000 0.5000
0.0000 0.0000 0.5000
0.5000 0.0000 0.0000
0.0000 0.5000 0.0000
0.0000 0.0000 0.0000
0.2500 0.5000 0.7500
0.7372 0.0000 0.7372
0.2628 0.0000 0.2628
0.7500 0.5000 0.2500
0.7372 0.7372 0.0000
0.2628 0.2628 0.0000
0.7500 0.2500 0.5000
0.2500 0.7500 0.5000
0.5000 0.2500 0.7500
0.0000 0.7372 0.7372
0.5000 0.7500 0.2500
0.0000 0.2628 0.2628
0.5000 0.0000 0.5000
0.5000 0.5000 0.0000
0.0000 0.5000 0.5000
```

***

Record 8
A geometry-optimized CsTl2CdPt structure. Source: the Alexandria database, functional PBE-GGA.

Output
The value obtained for the energy above the lowest structure with this stoichiometry is 0.0 meV per atom. As for the space group: P4/mmm (123). As for the formation energy: -0.13 eV/atom. The calculated total energy is -0.19420 Ry/atom.

Geometry as POSCAR:
```
CsTl2CdPt
1.0
5.4837 0.0000 0.0000
0.0000 5.4837 0.0000
0.0000 0.0000 5.4651
Cs Tl Pt Cd
1 2 1 1
Direct
0.5000 0.5000 0.5000
0.0000 0.5000 0.0000
0.5000 0.0000 0.0000
0.0000 0.0000 0.0000
0.0000 0.0000 0.5000
```

***

Record 9
A geometry-optimized Cs2TlCdPt structure. Source: the Alexandria database, functional PBE-GGA.

Output
The value obtained for the energy above the lowest structure with this stoichiometry is 106.1 meV per atom. As for the space group: P4/mmm (123). As for the formation energy: 0.08 eV/atom. The calculated total energy is -0.15592 Ry/atom.

Geometry as POSCAR:
```
Cs2TlCdPt
1.0
-2.4804 -5.2392 -3.3419
0.5414 -3.7668 5.5035
-4.8543 1.3877 1.4274
Cs Tl Pt Cd
2 1 1 1
Direct
0.0000 0.5000 0.0000
0.5000 0.0000 0.0000
0.5000 0.5000 0.5000
0.0000 0.0000 0.0000
0.0000 0.0000 0.5000
```

***

Record 10
A geometry-optimized Cs2TlCdPt structure. Source: the Alexandria database, functional PBE-GGA.

Output
The value obtained for the energy above the lowest structure with this stoichiometry is 0.0 meV per atom. As for the space group: P4/mmm (123). As for the formation energy: -0.02 eV/atom. The calculated total energy is -0.16371 Ry/atom.

Geometry as POSCAR:
```
Cs2TlCdPt
1.0
-4.2385 -5.2682 -0.4238
2.8798 -2.7576 5.4774
-3.4667 2.5396 3.1013
Cs Tl Pt Cd
2 1 1 1
Direct
0.0000 0.5000 0.0000
0.5000 0.0000 0.0000
0.0000 0.0000 0.5000
0.0000 0.0000 0.0000
0.5000 0.5000 0.5000
```

***

Number 4 is which compound?
CsCdPtS2

***

Number 7 is which compound?
Cs4TlCd12Pt3